--- A ---
A plane-wave DFT calculation with PBE was carried out for crystalline Mn2VS4 at its relaxed geometry.

Values from the calculation:
- Crystal system: trigonal
- Space group: R-3m, No. 166
- D(E_F): 5.28 states/eV/f.u.

Lattice parameters (Å, degrees): 3.535 3.535 12.417 81.82 81.82 60.00
Last column: magnetic moment on the atom in μB.
Fractional positions:
S  0.119  0.119  0.642  -0.01
S  0.295  0.295  0.116  -0.02
S  0.881  0.881  0.358  -0.01
S  0.705  0.705  0.884  -0.02
Mn  0.578  0.578  0.266  3.92
Mn  0.422  0.422  0.734  3.92
V  0.000  0.000  0.000  2.21

---

--- B ---
A plane-wave DFT calculation with PBE was carried out for crystalline Mn2VS4 at its relaxed geometry.

Values from the calculation:
- Crystal system: orthorhombic
- Space group: Cmcm, No. 63
- D(E_F): 5.00 states/eV/f.u.

Lattice parameters (Å, degrees): 3.402 6.049 11.780 90.00 90.00 106.33
Last column: magnetic moment on the atom in μB.
Fractional positions:
Mn  0.871  0.741  0.930  3.80
Mn  0.129  0.259  0.430  3.80
Mn  0.871  0.741  0.570  3.80
Mn  0.129  0.259  0.070  3.80
S  0.779  0.559  0.120  -0.05
S  0.500  0.000  0.500  0.04
S  0.221  0.441  0.620  -0.05
S  0.779  0.559  0.380  -0.05
S  0.221  0.441  0.880  -0.05
S  0.973  0.947  0.750  -0.08
S  0.500  0.000  0.000  0.04
S  0.027  0.053  0.250  -0.08
V  0.376  0.752  0.250  2.13
V  0.624  0.248  0.750  2.13

---

Which structure is most stable, and how do the rest compare? From most to least stable: B, A.

---

--- A ---
A plane-wave DFT calculation with PBE was carried out for crystalline MnV2S6 at its relaxed geometry.

Values from the calculation:
- Crystal system: tetragonal
- Space group: P4_2/mnm, No. 136
- D(E_F): 5.46 states/eV/f.u.

Lattice parameters (Å, degrees): 5.631 5.631 9.868 90.00 90.00 90.00
Last column: magnetic moment on the atom in μB.
Fractional positions:
S  0.304  0.304  0.831  0.05
S  0.304  0.304  0.169  0.05
S  0.196  0.804  0.669  0.05
S  0.290  0.290  0.500  0.04
S  0.710  0.710  0.500  0.04
S  0.696  0.696  0.169  0.05
S  0.804  0.196  0.669  0.05
S  0.196  0.804  0.331  0.05
S  0.804  0.196  0.331  0.05
S  0.696  0.696  0.831  0.05
S  0.210  0.790  0.000  0.04
S  0.790  0.210  0.000  0.04
Mn  0.500  0.500  0.000  2.45
Mn  0.000  0.000  0.500  2.45
V  0.500  0.500  0.346  -0.34
V  0.500  0.500  0.654  -0.34
V  0.000  0.000  0.846  -0.34
V  0.000  0.000  0.154  -0.34

---

--- B ---
A plane-wave DFT calculation with PBE was carried out for crystalline MnV2S6 at its relaxed geometry.

Values from the calculation:
- Crystal system: monoclinic
- Space group: C2/m, No. 12
- D(E_F): 3.49 states/eV/f.u.

Lattice parameters (Å, degrees): 3.233 7.454 8.093 112.33 101.52 90.00
Last column: magnetic moment on the atom in μB.
Fractional positions:
V  0.173  0.349  0.347  0.85
V  0.827  0.651  0.653  0.85
S  0.659  0.105  0.318  -0.07
S  0.670  0.576  0.340  -0.04
S  0.330  0.424  0.660  -0.04
S  0.341  0.895  0.682  -0.07
S  0.991  0.770  0.983  -0.05
S  0.009  0.230  0.017  -0.05
Mn  0.500  0.000  0.000  2.82

---

Which structure is most stable, and how do the rest compare? From most to least stable: B, A.

---

--- A ---
A plane-wave DFT calculation with PBE was carried out for crystalline MnV4S8 at its relaxed geometry.

Values from the calculation:
- Crystal system: monoclinic
- Space group: C2/m, No. 12
- D(E_F): 7.93 states/eV/f.u.

Lattice parameters (Å, degrees): 6.585 6.585 6.561 103.65 106.14 119.20
Last column: magnetic moment on the atom in μB.
Fractional positions:
S  0.305  0.481  0.787  -0.01
S  0.775  0.946  0.721  0.01
S  0.712  0.035  0.251  0.02
S  0.225  0.054  0.279  0.01
S  0.288  0.965  0.749  0.02
S  0.695  0.519  0.213  -0.01
S  0.217  0.540  0.251  0.02
S  0.783  0.460  0.749  0.02
V  0.234  0.770  0.004  -0.73
V  0.766  0.230  0.996  -0.73
V  0.206  0.206  0.000  -0.30
V  0.794  0.794  0.000  -0.30
Mn  0.000  0.500  0.500  3.32

---

--- B ---
A plane-wave DFT calculation with PBE was carried out for crystalline MnV4S8 at its relaxed geometry.

Values from the calculation:
- Crystal system: cubic
- Space group: F-43m, No. 216
- D(E_F): 5.74 states/eV/f.u.

Lattice parameters (Å, degrees): 6.931 6.931 6.931 60.00 60.00 60.00
Last column: magnetic moment on the atom in μB.
Fractional positions:
S  0.613  0.161  0.613  -0.06
S  0.613  0.613  0.161  -0.06
S  0.630  0.123  0.123  -0.06
S  0.613  0.613  0.613  -0.06
S  0.161  0.613  0.613  -0.06
S  0.123  0.123  0.630  -0.06
S  0.123  0.123  0.123  -0.06
S  0.123  0.630  0.123  -0.06
Mn  0.750  0.750  0.750  3.96
V  0.360  0.360  0.360  1.51
V  0.360  0.920  0.360  1.51
V  0.920  0.360  0.360  1.51
V  0.360  0.360  0.920  1.51

---

Which structure is most stable, and how do the rest compare? From most to least stable: A, B.

---

--- A ---
A plane-wave DFT calculation with PBE was carried out for crystalline MnW2S2 at its relaxed geometry.

Values from the calculation:
- Crystal system: tetragonal
- Space group: P4/mbm, No. 127
- D(E_F): 3.67 states/eV/f.u.

Lattice parameters (Å, degrees): 7.007 7.007 2.992 90.00 90.00 90.00
Last column: magnetic moment on the atom in μB.
Fractional positions:
W  0.148  0.352  0.000  -0.26
W  0.352  0.852  0.000  -0.27
W  0.852  0.648  0.000  -0.26
W  0.648  0.148  0.000  -0.26
S  0.648  0.852  0.500  0.03
S  0.352  0.148  0.500  0.03
S  0.148  0.648  0.500  0.03
S  0.852  0.352  0.500  0.03
Mn  0.500  0.500  0.000  3.08
Mn  0.000  0.000  0.000  3.09

---

--- B ---
A plane-wave DFT calculation with PBE was carried out for crystalline MnW2S2 at its relaxed geometry.

Values from the calculation:
- Crystal system: tetragonal
- Space group: I4/mmm, No. 139
- D(E_F): 2.30 states/eV/f.u.

Lattice parameters (Å, degrees): 4.482 4.482 5.333 65.15 65.15 90.00
Last column: magnetic moment on the atom in μB.
Fractional positions:
S  0.250  0.750  0.500  0.01
S  0.750  0.250  0.500  0.01
Mn  0.000  0.000  0.000  3.88
W  0.361  0.361  0.278  -0.19
W  0.639  0.639  0.722  -0.19

---

Which structure is most stable, and how do the rest compare? From most to least stable: B, A.